Record 1
VASP calculation (PBE) on crystalline ZrSi2Te at its relaxed geometry.

Unit cell a=4.011 b=3.827 c=5.714 alpha=90.00 beta=109.82 gamma=90.00
Positions (direct):
Zr 0.000 0.000 0.000
Si 0.335 0.000 0.602
Si 0.990 0.500 0.652
Te 0.590 0.500 0.194

Output
Crystal system = monoclinic
Formation energy without anion corrections = -0.357 eV/atom
DOS at the Fermi energy = 0.371 states/eV per cell

***

Record 2
VASP calculation (PBE) on crystalline ZrSi2Te at its relaxed geometry.

Unit cell a=4.786 b=4.786 c=3.449 alpha=90.00 beta=90.00 gamma=90.00
Positions (direct):
Zr 0.000 0.000 0.000
Si 0.000 0.500 0.500
Si 0.500 0.000 0.500
Te 0.500 0.500 0.000

Output
Crystal system = tetragonal
Formation energy without anion corrections = 0.090 eV/atom
DOS at the Fermi energy = 2.203 states/eV per cell

***

Record 3
VASP calculation (PBE) on crystalline Zr2SiTe at its relaxed geometry.

Unit cell a=3.383 b=3.383 c=7.468 alpha=90.00 beta=90.00 gamma=99.98
Positions (direct):
Zr 0.000 0.000 0.227
Zr 0.000 0.000 0.773
Si 0.500 0.500 0.000
Te 0.500 0.500 0.500

Output
Crystal system = orthorhombic
Formation energy without anion corrections = -0.499 eV/atom
DOS at the Fermi energy = 2.836 states/eV per cell

***

Record 4
VASP calculation (PBE) on crystalline ZrSi2Te at its relaxed geometry.

Unit cell a=5.135 b=5.135 c=5.122 alpha=92.00 beta=92.00 gamma=42.60
Positions (direct):
Zr 0.000 0.000 0.000
Si 0.288 0.288 0.121
Si 0.712 0.712 0.879
Te 0.500 0.500 0.500

Output
Crystal system = monoclinic
Formation energy without anion corrections = -0.124 eV/atom
DOS at the Fermi energy = 1.495 states/eV per cell

***

Record 5
VASP calculation (PBE) on crystalline ZrSi2Te at its relaxed geometry.

Unit cell a=5.627 b=5.627 c=3.887 alpha=90.09 beta=90.09 gamma=41.41
Positions (direct):
Zr 0.000 0.000 0.000
Si 0.579 0.579 0.501
Si 0.807 0.807 0.501
Te 0.284 0.284 0.003

Output
Crystal system = monoclinic
Formation energy without anion corrections = -0.252 eV/atom
DOS at the Fermi energy = 0.666 states/eV per cell

***

Record 6
VASP calculation (PBE) on crystalline ZrSiTe2 at its relaxed geometry.

Unit cell a=5.896 b=5.896 c=5.896 alpha=143.68 beta=130.34 gamma=63.06
Positions (direct):
Zr 0.000 0.000 0.000
Si 0.270 0.770 0.500
Te 0.492 0.492 0.000
Te 0.760 0.260 0.500

Output
Crystal system = orthorhombic
Formation energy without anion corrections = -0.045 eV/atom
DOS at the Fermi energy = 1.682 states/eV per cell

***

Among the records above, which one has the lowest DOS at the Fermi energy?
number 1